(1)
A plane-wave DFT calculation with PBE was carried out for a geometry-optimized Ca8H3N4 structure.

Crystal system: monoclinic
Spin magnetization, μB per formula unit: 1.00
DFT total energy, eV/atom: -4.68
DOS(E_F), states/eV/atom: 0.0413

```
Ca8H3N4
1.0
4.979 -5.118 0.000
4.979 5.118 0.000
-4.975 0.000 5.017
Ca H N
8 3 4
Direct
0.233 0.767 0.000
0.247 0.247 0.467
0.250 0.250 0.015
0.265 0.735 0.500
0.735 0.265 0.500
0.750 0.750 0.985
0.753 0.753 0.533
0.767 0.233 0.000
0.000 0.000 0.500
0.000 0.500 0.500
0.500 0.000 0.500
0.000 0.000 0.000
0.000 0.500 0.000
0.500 0.000 0.000
0.500 0.500 0.500
```


(2)
A plane-wave DFT calculation with PBE was carried out for a geometry-optimized Ca4HN2 structure.

Crystal system: orthorhombic
Spin magnetization, μB per formula unit: 0.72
DFT total energy, eV/atom: -4.59
DOS(E_F), states/eV/atom: 0.2786
Relative energy among the computed polymorphs, meV/atom: 169.2

```
Ca4HN2
1.0
1.802 -6.002 0.000
1.802 6.002 0.000
0.000 0.000 12.427
Ca H N
8 2 4
Direct
0.000 0.000 0.000
0.000 0.000 0.500
0.257 0.743 0.604
0.257 0.743 0.896
0.439 0.561 0.250
0.561 0.439 0.750
0.743 0.257 0.104
0.743 0.257 0.396
0.081 0.919 0.250
0.919 0.081 0.750
0.366 0.634 0.063
0.366 0.634 0.437
0.634 0.366 0.563
0.634 0.366 0.937
```